44
Lattice="-4.278 -2.919 0.908 2.147 -0.031 10.020 -5.740 8.804 1.257" Properties=species:S:1:pos:R:3 comment="CaV3O7 SCAN PBEsol geometry" final_energy_ev_per_cell=-548.1 pbc="T T T"
V -3.356 -0.686 6.201
V -5.489 6.555 1.440
V -4.863 3.966 11.292
V -6.960 4.899 4.127
V -2.382 -0.700 10.746
V -3.007 1.888 0.894
V -4.515 6.541 5.984
V -0.910 0.956 8.059
V -5.837 3.980 6.747
V -4.557 0.178 3.597
V -3.313 5.676 8.588
V -2.033 1.874 5.438
O -5.498 1.491 3.803
O -0.086 -0.437 7.878
O -6.308 7.781 2.125
O -6.717 4.036 10.686
O -7.280 4.044 8.059
O -3.443 0.333 1.990
O -2.373 4.363 8.382
O -4.214 2.624 10.642
O -2.329 -1.915 6.483
O -0.519 2.220 6.609
O -3.657 3.230 1.543
O -7.352 3.635 5.576
O -2.014 0.885 9.669
O -7.784 6.291 4.307
O -0.591 1.810 4.126
O -4.989 5.530 7.578
O -1.562 -1.926 10.060
O 0.042 2.212 9.227
O -2.882 0.325 4.608
O -5.856 4.970 2.517
O -2.577 0.893 7.042
O -4.980 2.635 7.065
O -4.428 5.522 10.195
O -5.542 7.770 5.702
O -7.913 3.643 2.958
O -5.293 4.962 5.143
O -2.890 3.219 5.120
O -1.154 1.818 1.499
Ca -1.267 -0.213 2.891
Ca -4.277 1.295 8.781
Ca -3.593 4.559 3.404
Ca -6.603 6.068 9.294